1.
# PBE-GGA LiLa2Tl, relaxed
# - SG = Immm (71)
# - calculated formation energy (eV per atom) = 0.20
# - total moment (μB/f.u.) = 0.0
data_LiLa2Tl
_space_group_name_H-M_alt 'P 1'
_space_group_IT_number 1
_cell_length_a 7.282
_cell_length_b 7.282
_cell_length_c 7.282
_cell_angle_alpha 52.79
_cell_angle_beta 152.73
_cell_angle_gamma 135.72
loop_
_space_group_symop_operation_xyz
'x,y,z'
loop_
_atom_site_label
_atom_site_type_symbol
_atom_site_fract_x
_atom_site_fract_y
_atom_site_fract_z
Tl1 Tl 0.000 0.500 0.500
Li1 Li 0.000 0.000 0.000
La1 La 0.000 0.236 0.236
La2 La 0.000 0.764 0.764



2.
# PBE-GGA ReBIr3, relaxed
# - SG = Pm-3m (221)
# - calculated formation energy (eV per atom) = 2.54
# - total moment (μB/f.u.) = 0.0
data_ReBIr3
_space_group_name_H-M_alt 'P 1'
_space_group_IT_number 1
_cell_length_a 4.746
_cell_length_b 4.746
_cell_length_c 4.746
_cell_angle_alpha 90.00
_cell_angle_beta 90.00
_cell_angle_gamma 90.00
loop_
_space_group_symop_operation_xyz
'x,y,z'
loop_
_atom_site_label
_atom_site_type_symbol
_atom_site_fract_x
_atom_site_fract_y
_atom_site_fract_z
Ir1 Ir 0.000 0.000 0.500
Ir2 Ir 0.500 0.000 0.000
B1 B 0.500 0.500 0.500
Re1 Re 0.000 0.000 0.000
Ir3 Ir 0.000 0.500 0.000



3.
# PBE-GGA ZnInWSe2, relaxed
# - SG = P4/mmm (123)
# - energy relative to the elements, uncorrected (eV per formula unit) = 0.97
# - total moment (μB/f.u.) = 0.0
data_ZnInWSe2
_space_group_name_H-M_alt 'P 1'
_space_group_IT_number 1
_cell_length_a 4.935
_cell_length_b 5.133
_cell_length_c 4.935
_cell_angle_alpha 90.00
_cell_angle_beta 90.00
_cell_angle_gamma 90.00
loop_
_space_group_symop_operation_xyz
'x,y,z'
loop_
_atom_site_label
_atom_site_type_symbol
_atom_site_fract_x
_atom_site_fract_y
_atom_site_fract_z
In1 In 0.500 0.500 0.500
W1 W 0.000 0.000 0.000
Zn1 Zn 0.000 0.500 0.000
Se1 Se 0.000 0.000 0.500
Se2 Se 0.500 0.000 0.000



4.
# PBE-GGA LiTl2AgBr4, relaxed
# - SG = C2/c (15)
# - energy relative to the elements, uncorrected (eV per formula unit) = -6.80
# - total moment (μB/f.u.) = 0.0
data_LiTl2AgBr4
_space_group_name_H-M_alt 'P 1'
_space_group_IT_number 1
_cell_length_a 8.778
_cell_length_b 8.778
_cell_length_c 8.867
_cell_angle_alpha 120.20
_cell_angle_beta 120.20
_cell_angle_gamma 90.32
loop_
_space_group_symop_operation_xyz
'x,y,z'
loop_
_atom_site_label
_atom_site_type_symbol
_atom_site_fract_x
_atom_site_fract_y
_atom_site_fract_z
Br1 Br 0.760 0.296 0.527
Br2 Br 0.237 0.261 0.034
Br3 Br 0.204 0.740 0.973
Br4 Br 0.796 0.260 0.027
Tl1 Tl 0.500 0.000 0.000
Tl2 Tl 0.500 0.500 0.000
Li1 Li 0.500 0.500 0.500
Tl3 Tl 0.000 0.000 0.500
Tl4 Tl 0.500 0.000 0.500
Br5 Br 0.763 0.739 0.966
Ag1 Ag 0.000 0.500 0.000
Br6 Br 0.239 0.263 0.466
Li2 Li 0.000 0.000 0.000
Br7 Br 0.240 0.704 0.473
Ag2 Ag 0.000 0.500 0.500
Br8 Br 0.761 0.737 0.534



5.
# PBE-GGA Ca2ScIn, relaxed
# - SG = C2/m (12)
# - calculated formation energy (eV per atom) = -0.06
# - total moment (μB/f.u.) = 0.0
data_Ca2ScIn
_space_group_name_H-M_alt 'P 1'
_space_group_IT_number 1
_cell_length_a 7.762
_cell_length_b 5.932
_cell_length_c 3.607
_cell_angle_alpha 89.93
_cell_angle_beta 62.43
_cell_angle_gamma 120.90
loop_
_space_group_symop_operation_xyz
'x,y,z'
loop_
_atom_site_label
_atom_site_type_symbol
_atom_site_fract_x
_atom_site_fract_y
_atom_site_fract_z
Sc1 Sc 0.500 0.500 0.000
Ca1 Ca 0.500 0.000 0.500
Ca2 Ca 0.000 0.000 0.000
In1 In 0.000 0.500 0.500



6.
# PBE-GGA TmPuPaIn, relaxed
# - SG = F-43m (216)
# - calculated formation energy (eV per atom) = 0.10
# - total moment (μB/f.u.) = 7.0
data_TmPuPaIn
_space_group_name_H-M_alt 'P 1'
_space_group_IT_number 1
_cell_length_a 5.241
_cell_length_b 5.241
_cell_length_c 5.241
_cell_angle_alpha 60.00
_cell_angle_beta 60.00
_cell_angle_gamma 60.00
loop_
_space_group_symop_operation_xyz
'x,y,z'
loop_
_atom_site_label
_atom_site_type_symbol
_atom_site_fract_x
_atom_site_fract_y
_atom_site_fract_z
Pa1 Pa 0.500 0.500 0.500
In1 In 0.000 0.000 0.000
Tm1 Tm 0.250 0.250 0.250
Pu1 Pu 0.750 0.750 0.750



7.
# PBE-GGA Al2ZnRe2, relaxed
# - SG = P4/mbm (127)
# - distance to the lowest polymorph of the same formula (kJ/mol of atoms) = 2.2
# - calculated formation energy (eV per atom) = 0.13
# - total moment (μB/f.u.) = 0.0
data_Al2ZnRe2
_space_group_name_H-M_alt 'P 1'
_space_group_IT_number 1
_cell_length_a 6.539
_cell_length_b 6.539
_cell_length_c 3.411
_cell_angle_alpha 90.00
_cell_angle_beta 90.00
_cell_angle_gamma 90.00
loop_
_space_group_symop_operation_xyz
'x,y,z'
loop_
_atom_site_label
_atom_site_type_symbol
_atom_site_fract_x
_atom_site_fract_y
_atom_site_fract_z
Al1 Al 0.133 0.367 0.000
Al2 Al 0.867 0.633 0.000
Re1 Re 0.833 0.333 0.500
Zn1 Zn 0.000 0.000 0.000
Al3 Al 0.633 0.133 0.000
Al4 Al 0.367 0.867 0.000
Zn2 Zn 0.500 0.500 0.000
Re2 Re 0.167 0.667 0.500
Re3 Re 0.667 0.833 0.500
Re4 Re 0.333 0.167 0.500



8.
# PBE-GGA AcTb3Sm12, relaxed
# - SG = P4/mmm (123)
# - calculated formation energy (eV per atom) = 0.02
# - total moment (μB/f.u.) = 0.0
data_AcTb3Sm12
_space_group_name_H-M_alt 'P 1'
_space_group_IT_number 1
_cell_length_a 5.141
_cell_length_b 5.141
_cell_length_c 20.589
_cell_angle_alpha 90.00
_cell_angle_beta 90.00
_cell_angle_gamma 90.00
loop_
_space_group_symop_operation_xyz
'x,y,z'
loop_
_atom_site_label
_atom_site_type_symbol
_atom_site_fract_x
_atom_site_fract_y
_atom_site_fract_z
Sm1 Sm 0.500 0.000 0.623
Sm2 Sm 0.500 0.500 0.000
Tb1 Tb 0.000 0.000 0.253
Ac1 Ac 0.000 0.000 0.000
Tb2 Tb 0.000 0.000 0.500
Sm3 Sm 0.500 0.000 0.377
Sm4 Sm 0.500 0.000 0.131
Sm5 Sm 0.000 0.500 0.131
Tb3 Tb 0.000 0.000 0.747
Sm6 Sm 0.000 0.500 0.377
Sm7 Sm 0.000 0.500 0.623
Sm8 Sm 0.000 0.500 0.869
Sm9 Sm 0.500 0.500 0.500
Sm10 Sm 0.500 0.000 0.869
Sm11 Sm 0.500 0.500 0.746
Sm12 Sm 0.500 0.500 0.254



- Which formula does entry 2 have?
  ReBIr3